Record 1
HoSiOs2C: single point on PBEsol structure, meta-GGA SCAN.

a b c (Å): 3.8191 5.8470 7.0538
angles (deg): 90.00 90.00 109.06
Element x y z (fractional)
Ho1 0.4523 0.9045 0.2500
Ho2 0.5477 0.0955 0.7500
Os1 0.8347 0.6693 0.9417
Os2 0.1653 0.3307 0.0583
Os3 0.1653 0.3307 0.4417
Os4 0.8347 0.6693 0.5583
C1 0.0000 0.0000 0.5000
C2 0.0000 0.0000 0.0000
Si1 0.7312 0.4624 0.2500
Si2 0.2688 0.5376 0.7500

Its symmetry is No. 63. The volume is 14.9 Å³ per atom. The uncorrected formation energy is -0.60 eV per atom.

---

Record 2
HoPRu2C: single point on PBEsol structure, meta-GGA SCAN.

a b c (Å): 3.7187 5.7739 6.9720
angles (deg): 90.00 90.00 108.79
Element x y z (fractional)
P1 0.2685 0.5371 0.7500
P2 0.7315 0.4629 0.2500
Ru1 0.1657 0.3315 0.0539
Ru2 0.8343 0.6685 0.9461
Ru3 0.8343 0.6685 0.5539
Ru4 0.1657 0.3315 0.4461
C1 0.0000 0.0000 0.5000
C2 0.0000 0.0000 0.0000
Ho1 0.4559 0.9118 0.2500
Ho2 0.5441 0.0882 0.7500

Its symmetry is No. 63. Its energy relative to the elements is -17.76 kcal/mol of atoms. The volume is 14.2 Å³ per atom.

---

Record 3
Ho3PbC: single point on PBEsol structure, meta-GGA SCAN.

a b c (Å): 4.8202 4.8202 4.8202
angles (deg): 90.00 90.00 90.00
Element x y z (fractional)
Pb1 0.5000 0.5000 0.5000
Ho1 0.0000 0.0000 0.5000
Ho2 0.5000 0.0000 0.0000
Ho3 0.0000 0.5000 0.0000
C1 0.0000 0.0000 0.0000

Its symmetry is No. 221. Its energy relative to the elements is -17.03 kcal/mol of atoms. The volume is 22.4 Å³ per atom.

---

Record 4
Ho2Re2Si2C: single point on PBEsol structure, meta-GGA SCAN.

a b c (Å): 3.9313 5.7421 5.9375
angles (deg): 71.53 70.67 69.98
Element x y z (fractional)
Ho1 0.5722 0.1536 0.7020
Ho2 0.4278 0.8464 0.2980
Re1 0.2082 0.6760 0.9076
Re2 0.7918 0.3240 0.0924
Si1 0.8598 0.6039 0.6764
Si2 0.1402 0.3961 0.3236
C1 0.0000 0.0000 0.0000

Its symmetry is No. 12. The volume is 16.5 Å³ per atom. The uncorrected formation energy is -0.67 eV per atom.

---

Record 5
Ho5Si3C: single point on PBEsol structure, meta-GGA SCAN.

a b c (Å): 6.2470 8.3330 8.3330
angles (deg): 120.00 90.00 90.00
Element x y z (fractional)
Si1 0.2500 0.0000 0.4082
Si2 0.7500 0.4082 0.4082
Si3 0.7500 0.0000 0.5918
Si4 0.2500 0.5918 0.5918
Si5 0.7500 0.5918 0.0000
Si6 0.2500 0.4082 0.0000
Ho1 0.5000 0.6667 0.3333
Ho2 0.7500 0.7762 0.7762
Ho3 0.7500 0.0000 0.2238
Ho4 0.0000 0.6667 0.3333
Ho5 0.2500 0.2238 0.2238
Ho6 0.5000 0.3333 0.6667
Ho7 0.2500 0.0000 0.7762
Ho8 0.0000 0.3333 0.6667
Ho9 0.7500 0.2238 0.0000
Ho10 0.2500 0.7762 0.0000
C1 0.0000 0.0000 0.0000
C2 0.5000 0.0000 0.0000

Its symmetry is No. 193. The volume is 20.9 Å³ per atom. The uncorrected formation energy is -0.69 eV per atom.

---

Record 6
HoWC2: single point on PBEsol structure, meta-GGA SCAN.

a b c (Å): 3.3304 5.6533 10.6833
angles (deg): 90.00 90.00 90.00
Element x y z (fractional)
C1 0.7500 0.2732 0.0140
C2 0.2500 0.2268 0.5140
C3 0.7500 0.8394 0.7526
C4 0.2500 0.7268 0.9860
C5 0.2500 0.6606 0.2526
C6 0.7500 0.3394 0.7474
C7 0.7500 0.7732 0.4860
C8 0.2500 0.1606 0.2474
Ho1 0.7500 0.4147 0.3626
Ho2 0.2500 0.0853 0.8626
Ho3 0.7500 0.9147 0.1374
Ho4 0.2500 0.5853 0.6374
W1 0.2500 0.9038 0.3905
W2 0.7500 0.0962 0.6095
W3 0.2500 0.4038 0.1095
W4 0.7500 0.5962 0.8905

Its symmetry is No. 62. Its energy relative to the elements is -8.27 kcal/mol of atoms. The volume is 12.6 Å³ per atom.

---

Record 7
YHoC4: single point on PBEsol structure, meta-GGA SCAN.

a b c (Å): 3.9884 3.9884 5.1028
angles (deg): 90.00 90.00 100.52
Element x y z (fractional)
Ho1 0.5000 0.5000 0.5000
C1 0.8937 0.1063 0.5000
C2 0.3938 0.6062 0.0000
C3 0.6062 0.3938 0.0000
C4 0.1063 0.8937 0.5000
Y1 0.0000 0.0000 0.0000

Its symmetry is No. 65. Its energy relative to the elements is -7.77 kcal/mol of atoms. The volume is 13.3 Å³ per atom.

---

Record 8
InCI2: single point on PBEsol structure, meta-GGA SCAN.

a b c (Å): 5.2378 5.2378 5.2378
angles (deg): 60.00 60.00 60.00
Last column: magnetic moment on the atom in μB.
Element x y z (fractional)
C1 0.0000 0.0000 0.0000  0.84
In1 0.5000 0.5000 0.5000  -0.11
I1 0.2500 0.2500 0.2500  -0.13
I2 0.7500 0.7500 0.7500  -0.13

Its symmetry is No. 225. The volume is 25.4 Å³ per atom. The uncorrected formation energy is 1.61 eV per atom.

---

Record 9
In2CI: single point on PBEsol structure, meta-GGA SCAN.

a b c (Å): 5.0613 5.0613 5.0613
angles (deg): 60.00 60.00 60.00
Last column: magnetic moment on the atom in μB.
Element x y z (fractional)
C1 0.0000 0.0000 0.0000  0.66
I1 0.5000 0.5000 0.5000  0.07
In1 0.2500 0.2500 0.2500  -0.02
In2 0.7500 0.7500 0.7500  -0.02

Its symmetry is No. 225. The volume is 22.9 Å³ per atom. The uncorrected formation energy is 1.58 eV per atom.

---

Record 10
InCIO2: single point on PBEsol structure, meta-GGA SCAN.

a b c (Å): 3.9160 3.9160 6.8804
angles (deg): 90.00 90.00 90.00
Last column: magnetic moment on the atom in μB.
Element x y z (fractional)
O1 0.0000 0.5000 0.0000  0.46
O2 0.5000 0.0000 0.0000  0.46
I1 0.0000 0.0000 0.5000  -0.18
In1 0.0000 0.0000 0.0000  -0.02
C1 0.5000 0.5000 0.5000  0.66

Its symmetry is No. 123. The volume is 21.1 Å³ per atom. The uncorrected formation energy is 0.89 eV per atom.

---

Record 11
IrC3I: single point on PBEsol structure, meta-GGA SCAN.

a b c (Å): 4.0545 4.0545 4.0545
angles (deg): 90.00 90.00 90.00
Last column: magnetic moment on the atom in μB.
Element x y z (fractional)
Ir1 0.0000 0.0000 0.0000  -0.13
C1 0.5000 0.0000 0.0000  0.35
C2 0.0000 0.0000 0.5000  0.35
C3 0.0000 0.5000 0.0000  0.35
I1 0.5000 0.5000 0.5000  -0.14

Its symmetry is No. 221. The volume is 13.3 Å³ per atom. The uncorrected formation energy is 2.21 eV per atom.

---

Record 12
IrCI2: single point on PBEsol structure, meta-GGA SCAN.

a b c (Å): 4.6865 4.6865 4.6865
angles (deg): 60.00 60.00 60.00
Element x y z (fractional)
I1 0.2500 0.2500 0.2500
I2 0.7500 0.7500 0.7500
Ir1 0.5000 0.5000 0.5000
C1 0.0000 0.0000 0.0000

Its symmetry is No. 225. The volume is 18.2 Å³ per atom. The uncorrected formation energy is 2.35 eV per atom.